The following is a DFT calculation (PBE-GGA) of a geometry-optimized CrGa2NiAs structure.

The structure in POSCAR format:
```
CrGa2NiAs
1.0
4.6704 0.0000 0.0000
0.0000 4.6704 0.0000
0.0000 0.0000 4.4556
Cr Ga Ni As
1 2 1 1
Cartesian
0.0000 0.0000 0.0000
0.0000 2.3352 0.0000
2.3352 0.0000 0.0000
2.3352 2.3352 2.2278
0.0000 0.0000 2.2278
```

Computed properties:
**Uncorrected energy**: -4.60 eV/atom
**Calculated density**: 5.55 g/cm³
**SG**: P4/mmm
**Magnetic moment**: 1.1 Bohr magnetons per cell


The following is a DFT calculation (PBE-GGA) of a geometry-optimized Li2HgSe structure.

The structure in POSCAR format:
```
Li2HgSe
1.0
3.5747 -2.0695 0.0000
3.5747 2.0695 0.0000
-0.3090 0.0000 6.7005
Li Hg Se
2 1 1
Cartesian
0.0000 0.0000 0.0000
4.7756 0.0000 1.6626
0.0359 0.0000 3.8217
2.3881 0.0000 0.8775
```

Computed properties:
**Excess energy over the best structure of this formula in the dataset**: 1 meV per atom
**Uncorrected energy**: -2.72 eV/atom
**Energy relative to the elements, uncorrected**: -313 kJ/mol of formula units
**Calculated density**: 4.91 g/cm³
**SG**: Cm
**Magnetic moment**: 0.0 Bohr magnetons per cell


The following is a DFT calculation (PBE-GGA) of a geometry-optimized CsTiCl3 structure.

The structure in POSCAR format:
```
CsTiCl3
1.0
7.6332 0.0000 0.0000
-3.8166 6.6105 0.0000
0.0000 0.0000 5.6920
Cs Ti Cl
2 2 6
Cartesian
0.0000 4.4070 1.4230
3.8166 2.2035 4.2690
0.0000 0.0000 0.0000
0.0000 0.0000 2.8460
0.0000 2.0860 4.2690
-2.0101 5.5675 4.2690
1.8065 1.0430 1.4230
2.0101 5.5675 4.2690
5.8267 1.0430 1.4230
3.8166 4.5245 1.4230
```

Computed properties:
**Excess energy over the best structure of this formula in the dataset**: 0 meV per atom
**Uncorrected energy**: -4.56 eV/atom
**Energy relative to the elements, uncorrected**: -819 kJ/mol of formula units
**Calculated density**: 3.32 g/cm³
**SG**: P6_3/mmc
**Magnetic moment**: 2.8 Bohr magnetons per cell


The following is a DFT calculation (PBE-GGA) of a geometry-optimized Ac5ErBi6 structure.

The structure in POSCAR format:
```
Ac5ErBi6
1.0
4.1687 -7.2223 0.0000
4.1687 7.2223 0.0000
-2.7914 0.0000 7.8587
Ac Er Bi
5 1 6
Cartesian
0.0000 0.0000 0.0000
2.7730 4.8386 3.9293
4.1687 2.4676 0.0000
4.1687 -2.4676 0.0000
2.7730 -4.8386 3.9293
2.7730 0.0000 3.9293
1.4473 2.3119 2.0426
0.1117 0.0000 5.8523
1.4473 -2.3119 2.0426
4.0988 2.3119 5.8161
5.4344 0.0000 2.0064
4.0988 -2.3119 5.8161
```

Computed properties:
**Uncorrected energy**: -4.98 eV/atom
**Calculated density**: 8.97 g/cm³
**SG**: C2/m
**Magnetic moment**: 0.0 Bohr magnetons per cell


The following is a DFT calculation (PBE-GGA) of a geometry-optimized Nd2Ga3Fe14C2 structure.

The structure in POSCAR format:
```
Nd2Ga3Fe14C2
1.0
4.8967 -4.3642 0.0000
4.8967 4.3642 0.0000
-0.9306 0.0000 6.4632
Nd Ga Fe C
2 3 14 2
Cartesian
1.1398 0.0000 2.1461
7.7229 0.0000 4.3170
2.4483 2.1821 0.0000
2.4483 -2.1821 0.0000
4.4314 0.0000 3.2316
3.6073 2.1520 2.2176
0.7602 0.0000 5.4692
2.8215 1.2358 4.6039
4.8967 2.4373 0.0000
5.2554 2.1520 4.2456
3.9020 0.0000 0.6112
2.8215 -1.2358 4.6039
6.0413 1.2358 1.8592
4.9607 0.0000 5.8520
3.6073 -2.1520 2.2176
4.8967 -2.4373 0.0000
6.0413 -1.2358 1.8592
8.1025 0.0000 0.9940
5.2554 -2.1520 4.2456
1.9830 2.1821 3.2316
1.9830 -2.1821 3.2316
```

Computed properties:
**Uncorrected energy**: -7.51 eV/atom
**Calculated density**: 7.84 g/cm³
**SG**: C2/m
**Magnetic moment**: 26.2 Bohr magnetons per cell


The following is a DFT calculation (PBE-GGA) of a geometry-optimized Nd2Cd3Ge structure.

The structure in POSCAR format:
```
Nd2Cd3Ge
1.0
3.7072 0.0000 0.0000
0.0000 4.8787 0.0000
0.0000 0.0000 8.3887
Nd Cd Ge
2 3 1
Cartesian
0.0000 0.0000 0.0000
0.0000 2.4393 3.8860
1.8536 0.0000 5.4360
1.8536 2.4393 1.2026
1.8536 2.4393 6.7708
1.8536 0.0000 2.6765
```

Computed properties:
**Uncorrected energy**: -3.22 eV/atom
**Calculated density**: 7.64 g/cm³
**SG**: Pmm2
**Magnetic moment**: 0.0 Bohr magnetons per cell


Number 1: calculated volume 19.44 Å³ per atom. Number 2: calculated volume 24.78 Å³ per atom. Number 3: calculated volume 28.72 Å³ per atom. Number 4: calculated volume 39.43 Å³ per atom. Number 5: calculated volume 13.15 Å³ per atom. Number 6: calculated volume 25.29 Å³ per atom.